1.
Compound: CdSiTcH2
Source: Alexandria
Functional: GGA-PBEsol
Structure: optimized geometry

Cell lengths 3.6862, 3.6862, 5.3957 Å; angles 90.00, 90.00, 90.00 degrees
Positions (direct):
Cd  0.0000  0.0000  0.0000
Si  0.0000  0.0000  0.5000
Tc  0.5000  0.5000  0.0000
H  0.0000  0.5000  0.5000
H  0.5000  0.0000  0.5000

Computed properties:
space-group type: No. 123
DFT total energy: -3.78 eV per atom

=====

2.
Compound: K2LiPrCl6
Source: Alexandria
Functional: GGA-PBEsol
Structure: optimized geometry

Cell lengths 7.3531, 7.3531, 7.3531 Å; angles 60.00, 60.00, 60.00 degrees
Positions (direct):
K  0.2500  0.2500  0.2500
K  0.7500  0.7500  0.7500
Li  0.0000  0.0000  0.0000
Pr  0.5000  0.5000  0.5000
Cl  0.2401  0.2401  0.7599
Cl  0.2401  0.7599  0.2401
Cl  0.2401  0.7599  0.7599
Cl  0.7599  0.2401  0.2401
Cl  0.7599  0.2401  0.7599
Cl  0.7599  0.7599  0.2401

Computed properties:
space-group type: No. 225
E_form (uncorrected): -2017 meV/atom

=====

How do the records compare in spin magnetization? In the order shown, they have 2.59 0.00 Bohr magnetons per cell.